Entry 1:
BaNiHgP: optimized geometry, PBE. Values from VASP.

**Space group**: P4/nmm, No. 129

Cell and atoms, written as Quantum ESPRESSO input:
```
&SYSTEM
  ibrav = 0, nat = 8, ntyp = 4
/
ATOMIC_SPECIES
Ba 137.33 Ba.upf
Ni 58.69 Ni.upf
Hg 200.59 Hg.upf
P 30.97 P.upf
ATOMIC_POSITIONS crystal
Ba 0.250 0.250 0.227
Ba 0.750 0.750 0.773
Ni 0.250 0.750 0.000
Ni 0.750 0.250 0.000
Hg 0.250 0.750 0.500
Hg 0.750 0.250 0.500
P 0.250 0.250 0.911
P 0.750 0.750 0.089
CELL_PARAMETERS angstrom
4.120 0.000 0.000
0.000 4.120 0.000
0.000 0.000 11.688
```



Entry 2:
Ba2NiHgPb: optimized geometry, PBE. Values from VASP.

**Space group**: P4/mmm, No. 123

Cell and atoms, written as Quantum ESPRESSO input:
```
&SYSTEM
  ibrav = 0, nat = 5, ntyp = 4
/
ATOMIC_SPECIES
Ba 137.33 Ba.upf
Ni 58.69 Ni.upf
Hg 200.59 Hg.upf
Pb 207.20 Pb.upf
ATOMIC_POSITIONS crystal
Ba 0.000 0.500 0.000
Ba 0.500 0.000 0.000
Ni 0.000 0.000 0.000
Hg 0.500 0.500 0.500
Pb 0.000 0.000 0.500
CELL_PARAMETERS angstrom
6.090 0.000 0.000
0.000 6.090 0.000
0.000 0.000 4.941
```



It is found that the DFT formation energy values, taken in the order of the records, are -0.6290; -0.2817 eV per atom.
It is found that the spin magnetization values, taken in the order of the records, are 0.00; 0.00 μB/f.u..
It is found that the DOS(E_F) values, taken in the order of the records, are 0.51; 0.64 states/eV/atom.